Ba4NaCd | PBE | relaxed

```
data_Ba4NaCd
_chemical_formula_sum 'Ba4 Na1 Cd1'
_symmetry_space_group_name_H-M 'P 1'
_symmetry_Int_Tables_number 1
_cell_length_a 4.361
_cell_length_b 4.361
_cell_length_c 16.215
_cell_angle_alpha 90.00
_cell_angle_beta 90.00
_cell_angle_gamma 90.00
loop_
_symmetry_equiv_pos_as_xyz
'x,y,z'
loop_
_atom_site_label
_atom_site_type_symbol
_atom_site_fract_x
_atom_site_fract_y
_atom_site_fract_z
_atom_site_occupancy
Na1 Na 0.000 0.000 0.000 1
Ba1 Ba 0.500 0.500 0.835 1
Ba2 Ba 0.500 0.500 0.165 1
Ba3 Ba 0.000 0.000 0.377 1
Ba4 Ba 0.000 0.000 0.623 1
Cd1 Cd 0.500 0.500 0.500 1
```

Output
- E_form (meV per atom) = -104
- space-group type = P4/mmm
- crystal system = tetragonal
- E above lowest polymorph (meV/atom) = 0


Ga2NiPt | PBE | relaxed

```
data_Ga2NiPt
_chemical_formula_sum 'Ga2 Ni1 Pt1'
_symmetry_space_group_name_H-M 'P 1'
_symmetry_Int_Tables_number 1
_cell_length_a 3.945
_cell_length_b 3.945
_cell_length_c 5.061
_cell_angle_alpha 67.06
_cell_angle_beta 67.06
_cell_angle_gamma 60.00
loop_
_symmetry_equiv_pos_as_xyz
'x,y,z'
loop_
_atom_site_label
_atom_site_type_symbol
_atom_site_fract_x
_atom_site_fract_y
_atom_site_fract_z
_atom_site_occupancy
Pt1 Pt 0.487 0.487 0.539 1
Ga1 Ga 0.264 0.264 0.209 1
Ga2 Ga 0.067 0.067 0.799 1
Ni1 Ni 0.682 0.682 0.954 1
```

Output
- E_form (meV per atom) = -387
- space-group type = R3m
- crystal system = trigonal


CsTl2CoMo | PBE | relaxed

```
data_CsTl2CoMo
_chemical_formula_sum 'Cs1 Tl2 Co1 Mo1'
_symmetry_space_group_name_H-M 'P 1'
_symmetry_Int_Tables_number 1
_cell_length_a 6.356
_cell_length_b 5.387
_cell_length_c 6.356
_cell_angle_alpha 90.00
_cell_angle_beta 90.00
_cell_angle_gamma 90.00
loop_
_symmetry_equiv_pos_as_xyz
'x,y,z'
loop_
_atom_site_label
_atom_site_type_symbol
_atom_site_fract_x
_atom_site_fract_y
_atom_site_fract_z
_atom_site_occupancy
Tl1 Tl 0.000 0.000 0.500 1
Tl2 Tl 0.500 0.000 0.000 1
Cs1 Cs 0.000 0.000 0.000 1
Mo1 Mo 0.000 0.500 0.000 1
Co1 Co 0.500 0.500 0.500 1
```

Output
- E_form (meV per atom) = 2409
- space-group type = P4/mmm
- crystal system = tetragonal


Th4In2Co | PBE | relaxed

```
data_Th4In2Co
_chemical_formula_sum 'Th4 In2 Co1'
_symmetry_space_group_name_H-M 'P 1'
_symmetry_Int_Tables_number 1
_cell_length_a 3.569
_cell_length_b 9.422
_cell_length_c 6.669
_cell_angle_alpha 110.81
_cell_angle_beta 90.00
_cell_angle_gamma 90.00
loop_
_symmetry_equiv_pos_as_xyz
'x,y,z'
loop_
_atom_site_label
_atom_site_type_symbol
_atom_site_fract_x
_atom_site_fract_y
_atom_site_fract_z
_atom_site_occupancy
In1 In 0.500 0.734 0.403 1
In2 In 0.500 0.409 0.740 1
Th1 Th 0.000 0.732 0.903 1
Th2 Th 0.500 0.071 0.802 1
Th3 Th 0.500 0.071 0.341 1
Th4 Th 0.000 0.411 0.240 1
Co1 Co 0.000 0.071 0.071 1
```

Output
- E_form (meV per atom) = -28
- space-group type = P2/m
- crystal system = monoclinic


AcCeGeH | PBE | relaxed

```
data_AcCeGeH
_chemical_formula_sum 'Ac2 Ce2 Ge2 H2'
_symmetry_space_group_name_H-M 'P 1'
_symmetry_Int_Tables_number 1
_cell_length_a 4.384
_cell_length_b 4.384
_cell_length_c 9.530
_cell_angle_alpha 90.00
_cell_angle_beta 90.00
_cell_angle_gamma 90.00
loop_
_symmetry_equiv_pos_as_xyz
'x,y,z'
loop_
_atom_site_label
_atom_site_type_symbol
_atom_site_fract_x
_atom_site_fract_y
_atom_site_fract_z
_atom_site_occupancy
Ac1 Ac 0.500 0.000 0.638 1
Ac2 Ac 0.000 0.500 0.362 1
Ce1 Ce 0.500 0.500 0.000 1
Ce2 Ce 0.000 0.000 0.000 1
H1 H 0.500 0.500 0.500 1
H2 H 0.000 0.000 0.500 1
Ge1 Ge 0.500 0.000 0.225 1
Ge2 Ge 0.000 0.500 0.775 1
```

Output
- raw total energy (eV per atom) = -5.147
- space-group type = P4/nmm
- crystal system = tetragonal


Pu2BiPb2 | PBE | relaxed

```
data_Pu2BiPb2
_chemical_formula_sum 'Pu2 Bi1 Pb2'
_symmetry_space_group_name_H-M 'P 1'
_symmetry_Int_Tables_number 1
_cell_length_a 4.349
_cell_length_b 4.349
_cell_length_c 8.672
_cell_angle_alpha 104.52
_cell_angle_beta 104.52
_cell_angle_gamma 90.00
loop_
_symmetry_equiv_pos_as_xyz
'x,y,z'
loop_
_atom_site_label
_atom_site_type_symbol
_atom_site_fract_x
_atom_site_fract_y
_atom_site_fract_z
_atom_site_occupancy
Pb1 Pb 0.750 0.250 0.500 1
Pb2 Pb 0.250 0.750 0.500 1
Bi1 Bi 0.000 0.000 0.000 1
Pu1 Pu 0.588 0.588 0.177 1
Pu2 Pu 0.412 0.412 0.823 1
```

Output
- E_form (meV per atom) = -44
- space-group type = I4/mmm
- crystal system = tetragonal


CoSe2Cl | PBE | relaxed

```
data_CoSe2Cl
_chemical_formula_sum 'Co1 Se2 Cl1'
_symmetry_space_group_name_H-M 'P 1'
_symmetry_Int_Tables_number 1
_cell_length_a 7.379
_cell_length_b 7.379
_cell_length_c 7.379
_cell_angle_alpha 151.28
_cell_angle_beta 151.28
_cell_angle_gamma 41.06
loop_
_symmetry_equiv_pos_as_xyz
'x,y,z'
loop_
_atom_site_label
_atom_site_type_symbol
_atom_site_fract_x
_atom_site_fract_y
_atom_site_fract_z
_atom_site_occupancy
Co1 Co 0.750 0.250 0.500 1
Se1 Se 0.500 0.500 0.000 1
Se2 Se 0.000 0.000 0.000 1
Cl1 Cl 0.250 0.750 0.500 1
```

Output
- space-group type = I4/mmm
- crystal system = tetragonal
- E above lowest polymorph (meV/atom) = 609


CsSnAs2Se | PBE | relaxed

```
data_CsSnAs2Se
_chemical_formula_sum 'Cs1 Sn1 As2 Se1'
_symmetry_space_group_name_H-M 'P 1'
_symmetry_Int_Tables_number 1
_cell_length_a 5.770
_cell_length_b 5.770
_cell_length_c 5.830
_cell_angle_alpha 90.00
_cell_angle_beta 90.00
_cell_angle_gamma 90.00
loop_
_symmetry_equiv_pos_as_xyz
'x,y,z'
loop_
_atom_site_label
_atom_site_type_symbol
_atom_site_fract_x
_atom_site_fract_y
_atom_site_fract_z
_atom_site_occupancy
As1 As 0.500 0.000 0.000 1
As2 As 0.000 0.500 0.000 1
Se1 Se 0.000 0.000 0.500 1
Cs1 Cs 0.000 0.000 0.000 1
Sn1 Sn 0.500 0.500 0.500 1
```

Output
- space-group type = P4/mmm
- crystal system = tetragonal
- E above lowest polymorph (meV/atom) = 1216


Ho2PuRh | PBE | relaxed

```
data_Ho2PuRh
_chemical_formula_sum 'Ho2 Pu1 Rh1'
_symmetry_space_group_name_H-M 'P 1'
_symmetry_Int_Tables_number 1
_cell_length_a 3.414
_cell_length_b 3.414
_cell_length_c 8.570
_cell_angle_alpha 90.00
_cell_angle_beta 90.00
_cell_angle_gamma 90.00
loop_
_symmetry_equiv_pos_as_xyz
'x,y,z'
loop_
_atom_site_label
_atom_site_type_symbol
_atom_site_fract_x
_atom_site_fract_y
_atom_site_fract_z
_atom_site_occupancy
Rh1 Rh 0.500 0.500 0.000 1
Ho1 Ho 0.000 0.000 0.195 1
Ho2 Ho 0.000 0.000 0.805 1
Pu1 Pu 0.500 0.500 0.500 1
```

Output
- E_form (meV per atom) = -359
- space-group type = P4/mmm
- crystal system = tetragonal
- E above lowest polymorph (meV/atom) = 0


| no. | density of states at the Fermi level (states/eV per cell) |
| --- | --- |
| 1 | 6.85 |
| 2 | 1.28 |
| 3 | 3.91 |
| 4 | 6.67 |
| 5 | 5.75 |
| 6 | 21.20 |
| 7 | 6.31 |
| 8 | 6.66 |
| 9 | 8.34 |